Density functional theory data (PBE) for a relaxed LaAlRe4 crystal.

a = 5.383 Å, b = 5.383 Å, c = 5.383 Å
α = 60.00°, β = 60.00°, γ = 60.00°
Element x y z (fractional)
Al1 0.750 0.750 0.750
Re1 0.376 0.376 0.376
Re2 0.376 0.376 0.872
Re3 0.872 0.376 0.376
Re4 0.376 0.872 0.376
La1 0.000 0.000 0.000

Formation energy from the elements   24 kJ/mol of atoms
Magnetic moment   0.0 μB/f.u.
Electronic total energy   -9.493 eV per atom

Density functional theory data (PBE) for a relaxed La2AlRe crystal.

a = 3.495 Å, b = 3.495 Å, c = 8.531 Å
α = 90.00°, β = 90.00°, γ = 90.03°
Element x y z (fractional)
Re1 0.000 0.000 0.572
La1 0.000 0.000 0.914
La2 0.500 0.500 0.331
Al1 0.500 0.500 0.683

Formation energy from the elements   2 kJ/mol of atoms
Magnetic moment   0.0 μB/f.u.
Electronic total energy   -6.487 eV per atom

Density functional theory data (PBE) for a relaxed LaAl4Re crystal.

a = 4.250 Å, b = 7.130 Å, c = 7.875 Å
α = 90.00°, β = 90.00°, γ = 90.00°
Element x y z (fractional)
Al1 0.500 0.970 0.750
Al2 0.500 0.030 0.250
Al3 0.500 0.694 0.430
Al4 0.000 0.000 0.500
Al5 0.500 0.306 0.570
Al6 0.000 0.000 0.000
Al7 0.500 0.694 0.070
Al8 0.500 0.306 0.930
La1 0.000 0.633 0.750
La2 0.000 0.367 0.250
Re1 0.000 0.202 0.750
Re2 0.000 0.798 0.250

Formation energy from the elements   -34 kJ/mol of atoms
Magnetic moment   0.0 μB/f.u.
Electronic total energy   -5.739 eV per atom
ΔE to the lowest computed polymorph   0.0000 eV/atom

Density functional theory data (PBE) for a relaxed La2AlRe crystal.

a = 10.126 Å, b = 10.126 Å, c = 10.126 Å
α = 19.78°, β = 19.78°, γ = 19.78°
Element x y z (fractional)
La1 0.991 0.991 0.991
La2 0.509 0.509 0.509
Al1 0.750 0.750 0.750
Re1 0.250 0.250 0.250

Formation energy from the elements   42 kJ/mol of atoms
Magnetic moment   0.0 μB/f.u.
Electronic total energy   -6.077 eV per atom

Density functional theory data (PBE) for a relaxed LaAlRe3 crystal.

a = 4.655 Å, b = 4.655 Å, c = 4.655 Å
α = 90.00°, β = 90.00°, γ = 90.00°
Element x y z (fractional)
Re1 0.000 0.500 0.000
Re2 0.000 0.000 0.500
Re3 0.500 0.000 0.000
La1 0.500 0.500 0.500
Al1 0.000 0.000 0.000

Formation energy from the elements   121 kJ/mol of atoms
Magnetic moment   2.2 μB/f.u.
Electronic total energy   -7.948 eV per atom
ΔE to the lowest computed polymorph   0.0000 eV/atom

Density functional theory data (PBE) for a relaxed LaAl4Re crystal.

a = 5.368 Å, b = 5.368 Å, c = 5.368 Å
α = 60.00°, β = 60.00°, γ = 60.00°
Element x y z (fractional)
La1 0.750 0.750 0.750
Al1 0.879 0.374 0.374
Al2 0.374 0.374 0.374
Al3 0.374 0.374 0.879
Al4 0.374 0.879 0.374
Re1 0.000 0.000 0.000

Formation energy from the elements   7 kJ/mol of atoms
Magnetic moment   0.0 μB/f.u.
Electronic total energy   -5.322 eV per atom
ΔE to the lowest computed polymorph   0.4177 eV/atom

Density functional theory data (PBE) for a relaxed La2AlRe crystal.

a = 5.350 Å, b = 5.350 Å, c = 5.350 Å
α = 128.26°, β = 128.26°, γ = 76.20°
Element x y z (fractional)
La1 0.250 0.750 0.500
La2 0.000 0.000 0.000
Al1 0.750 0.250 0.500
Re1 0.500 0.500 0.000

Formation energy from the elements   22 kJ/mol of atoms
Magnetic moment   0.0 μB/f.u.
Electronic total energy   -6.288 eV per atom

Density functional theory data (PBE) for a relaxed LaAl2ReSb crystal.

a = 5.095 Å, b = 5.974 Å, c = 5.095 Å
α = 90.00°, β = 90.00°, γ = 90.00°
Element x y z (fractional)
La1 0.000 0.500 0.000
Sb1 0.000 0.000 0.000
Al1 0.000 0.000 0.500
Al2 0.500 0.000 0.000
Re1 0.500 0.500 0.500

Magnetic moment   2.9 μB/f.u.
Electronic total energy   -4.394 eV per atom
ΔE_f (raw)   1.403 eV/atom

Density functional theory data (PBE) for a relaxed La2AlReSb crystal.

a = 5.459 Å, b = 4.876 Å, c = 5.459 Å
α = 90.00°, β = 90.00°, γ = 90.00°
Element x y z (fractional)
Al1 0.000 0.500 0.000
Sb1 0.500 0.500 0.500
Re1 0.000 0.000 0.000
La1 0.000 0.000 0.500
La2 0.500 0.000 0.000

Magnetic moment   0.0 μB/f.u.
Electronic total energy   -6.268 eV per atom
ΔE_f (raw)   -0.234 eV/atom

Density functional theory data (PBE) for a relaxed LaAlRe2W crystal.

a = 4.782 Å, b = 5.458 Å, c = 4.782 Å
α = 90.00°, β = 90.00°, γ = 90.00°
Element x y z (fractional)
Re1 0.000 0.000 0.500
Re2 0.500 0.000 0.000
W1 0.000 0.000 0.000
Al1 0.500 0.500 0.500
La1 0.000 0.500 0.000

Formation energy from the elements   150 kJ/mol of atoms
Magnetic moment   0.0 μB/f.u.
Electronic total energy   -7.749 eV per atom

Density functional theory data (PBE) for a relaxed LaAl2ReW crystal.

a = 4.793 Å, b = 4.936 Å, c = 4.793 Å
α = 90.00°, β = 90.00°, γ = 90.00°
Element x y z (fractional)
Al1 0.500 0.000 0.000
Al2 0.000 0.000 0.500
Re1 0.000 0.000 0.000
La1 0.500 0.500 0.500
W1 0.000 0.500 0.000

Formation energy from the elements   33 kJ/mol of atoms
Magnetic moment   0.0 μB/f.u.
Electronic total energy   -7.223 eV per atom

Density functional theory data (PBE) for a relaxed La3Al9Rh2 crystal.

a = 4.427 Å, b = 8.397 Å, c = 8.397 Å
α = 72.30°, β = 74.72°, γ = 74.72°
Element x y z (fractional)
La1 0.300 0.700 0.700
La2 0.700 0.300 0.300
La3 0.000 0.000 0.000
Al1 0.875 0.407 0.843
Al2 0.875 0.843 0.407
Al3 0.125 0.593 0.157
Al4 0.000 0.500 0.500
Al5 0.346 0.012 0.297
Al6 0.346 0.297 0.012
Al7 0.125 0.157 0.593
Al8 0.654 0.988 0.703
Al9 0.654 0.703 0.988
Rh1 0.500 0.689 0.311
Rh2 0.500 0.311 0.689

Formation energy from the elements   -61 kJ/mol of atoms
Magnetic moment   0.0 μB/f.u.
Electronic total energy   -5.140 eV per atom

Density functional theory data (PBE) for a relaxed LaAl2Rh crystal.

a = 9.220 Å, b = 9.220 Å, c = 9.220 Å
α = 20.21°, β = 20.21°, γ = 20.21°
Element x y z (fractional)
Rh1 0.750 0.750 0.750
Al1 0.019 0.019 0.019
Al2 0.481 0.481 0.481
La1 0.250 0.250 0.250

Formation energy from the elements   -26 kJ/mol of atoms
Magnetic moment   0.0 μB/f.u.
Electronic total energy   -5.211 eV per atom

Density functional theory data (PBE) for a relaxed LaAlRh2 crystal.

a = 5.281 Å, b = 5.281 Å, c = 4.323 Å
α = 76.14°, β = 76.14°, γ = 40.01°
Element x y z (fractional)
Rh1 0.770 0.770 0.679
Rh2 0.000 0.000 0.027
Al1 0.485 0.485 0.585
La1 0.245 0.245 0.209

Formation energy from the elements   -57 kJ/mol of atoms
Magnetic moment   0.0 μB/f.u.
Electronic total energy   -6.437 eV per atom

Density functional theory data (PBE) for a relaxed La3Al2Rh3 crystal.

a = 5.753 Å, b = 8.281 Å, c = 8.281 Å
α = 120.00°, β = 90.00°, γ = 90.00°
Element x y z (fractional)
Rh1 0.750 0.000 0.591
Rh2 0.750 0.409 0.409
Rh3 0.250 0.000 0.409
Rh4 0.750 0.591 0.000
Rh5 0.250 0.409 0.000
Rh6 0.250 0.591 0.591
La1 0.250 0.000 0.733
La2 0.250 0.267 0.267
La3 0.750 0.267 0.000
La4 0.750 0.000 0.267
La5 0.250 0.733 0.000
La6 0.750 0.733 0.733
Al1 0.000 0.667 0.333
Al2 0.500 0.667 0.333
Al3 0.500 0.333 0.667
Al4 0.000 0.333 0.667

Formation energy from the elements   -69 kJ/mol of atoms
Magnetic moment   0.5 μB/f.u.
Electronic total energy   -6.257 eV per atom

Density functional theory data (PBE) for a relaxed LaAlRh crystal.

a = 4.298 Å, b = 7.158 Å, c = 8.256 Å
α = 90.00°, β = 90.00°, γ = 90.00°
Element x y z (fractional)
Rh1 0.750 0.730 0.616
Rh2 0.250 0.270 0.384
Rh3 0.750 0.230 0.884
Rh4 0.250 0.770 0.116
La1 0.250 0.043 0.680
La2 0.250 0.543 0.820
La3 0.750 0.457 0.180
La4 0.750 0.957 0.320
Al1 0.750 0.371 0.560
Al2 0.250 0.629 0.440
Al3 0.250 0.129 0.060
Al4 0.750 0.871 0.940

Formation energy from the elements   -81 kJ/mol of atoms
Magnetic moment   0.0 μB/f.u.
Electronic total energy   -6.179 eV per atom

Density functional theory data (PBE) for a relaxed LaAlRh2 crystal.

a = 4.759 Å, b = 4.759 Å, c = 8.746 Å
α = 74.21°, β = 74.21°, γ = 90.00°
Element x y z (fractional)
Rh1 0.375 0.510 0.750
Rh2 0.260 0.625 0.250
Rh3 0.875 0.740 0.750
Rh4 0.490 0.125 0.250
Al1 0.250 0.750 0.500
Al2 0.500 0.500 0.000
La1 0.750 0.250 0.500
La2 0.000 0.000 0.000

Formation energy from the elements   -39 kJ/mol of atoms
Magnetic moment   0.0 μB/f.u.
Electronic total energy   -6.243 eV per atom

Density functional theory data (PBE) for a relaxed La2Al9Rh3 crystal.

a = 7.713 Å, b = 7.713 Å, c = 10.655 Å
α = 89.97°, β = 110.92°, γ = 120.49°
Element x y z (fractional)
La1 0.337 0.248 0.751
La2 0.997 0.586 0.749
La3 0.663 0.752 0.249
La4 0.003 0.414 0.251
Rh1 0.172 0.341 0.001
Rh2 0.828 0.659 0.999
Rh3 0.840 0.171 0.499
Rh4 0.500 0.500 0.500
Rh5 0.160 0.829 0.501
Rh6 0.500 0.000 0.000
Al1 0.123 0.873 0.250
Al2 0.219 0.527 0.573
Al3 0.875 0.858 0.570
Al4 0.468 0.818 0.454
Al5 0.532 0.182 0.546
Al6 0.546 0.354 0.073
Al7 0.865 0.014 0.046
Al8 0.536 0.080 0.253
Al9 0.135 0.986 0.954
Al10 0.125 0.142 0.430
Al11 0.327 0.283 0.247
Al12 0.789 0.305 0.930
Al13 0.464 0.920 0.747
Al14 0.454 0.646 0.927
Al15 0.673 0.717 0.753
Al16 0.877 0.127 0.750
Al17 0.211 0.695 0.070
Al18 0.781 0.473 0.427

Formation energy from the elements   -77 kJ/mol of atoms
Magnetic moment   0.0 μB/f.u.
Electronic total energy   -5.482 eV per atom
ΔE to the lowest computed polymorph   0.0022 eV/atom

Density functional theory data (PBE) for a relaxed La3Al3Rh2 crystal.

a = 5.840 Å, b = 8.194 Å, c = 15.597 Å
α = 90.00°, β = 90.00°, γ = 90.00°
Element x y z (fractional)
Al1 0.416 0.654 0.965
Al2 0.584 0.346 0.035
Al3 0.926 0.816 0.750
Al4 0.074 0.184 0.250
Al5 0.916 0.846 0.465
Al6 0.584 0.346 0.465
Al7 0.426 0.684 0.250
Al8 0.574 0.316 0.750
Al9 0.084 0.154 0.535
Al10 0.916 0.846 0.035
Al11 0.416 0.654 0.535
Al12 0.084 0.154 0.965
Rh1 0.644 0.635 0.397
Rh2 0.144 0.865 0.603
Rh3 0.356 0.365 0.603
Rh4 0.856 0.135 0.397
Rh5 0.356 0.365 0.897
Rh6 0.644 0.635 0.103
Rh7 0.856 0.135 0.103
Rh8 0.144 0.865 0.897
La1 0.085 0.166 0.750
La2 0.585 0.334 0.250
La3 0.912 0.527 0.608
La4 0.912 0.527 0.892
La5 0.588 0.027 0.608
La6 0.915 0.834 0.250
La7 0.088 0.473 0.108
La8 0.412 0.973 0.108
La9 0.088 0.473 0.392
La10 0.588 0.027 0.892
La11 0.415 0.666 0.750
La12 0.412 0.973 0.392

Formation energy from the elements   -66 kJ/mol of atoms
Magnetic moment   0.0 μB/f.u.
Electronic total energy   -5.770 eV per atom

Density functional theory data (PBE) for a relaxed LaAlRh2 crystal.

a = 5.680 Å, b = 5.680 Å, c = 5.680 Å
α = 143.25°, β = 136.57°, γ = 58.17°
Element x y z (fractional)
Rh1 0.727 0.227 0.500
Rh2 0.994 0.994 0.000
Al1 0.523 0.523 0.000
La1 0.255 0.755 0.500

Formation energy from the elements   -56 kJ/mol of atoms
Magnetic moment   0.0 μB/f.u.
Electronic total energy   -6.426 eV per atom

Density functional theory data (PBE) for a relaxed LaAl2Rh crystal.

a = 5.635 Å, b = 5.697 Å, c = 3.030 Å
α = 83.99°, β = 70.98°, γ = 114.07°
Element x y z (fractional)
Rh1 0.500 0.500 0.000
Al1 0.000 0.000 0.000
Al2 0.500 0.000 0.500
La1 0.000 0.500 0.500

Formation energy from the elements   -13 kJ/mol of atoms
Magnetic moment   0.0 μB/f.u.
Electronic total energy   -5.072 eV per atom

Density functional theory data (PBE) for a relaxed La8Al2Rh crystal.

a = 5.546 Å, b = 7.127 Å, c = 9.485 Å
α = 112.06°, β = 107.00°, γ = 90.00°
Element x y z (fractional)
La1 0.370 0.132 0.740
La2 0.370 0.607 0.739
La3 0.630 0.868 0.260
La4 0.630 0.393 0.261
La5 0.000 0.269 0.000
La6 0.199 0.199 0.399
La7 0.000 0.731 0.000
La8 0.801 0.801 0.601
Al1 0.815 0.315 0.629
Al2 0.185 0.685 0.371
Rh1 0.500 0.000 0.000

Formation energy from the elements   -26 kJ/mol of atoms
Magnetic moment   0.0 μB/f.u.
Electronic total energy   -5.197 eV per atom

Density functional theory data (PBE) for a relaxed LaAlRh2 crystal.

a = 3.153 Å, b = 3.170 Å, c = 7.791 Å
α = 65.77°, β = 90.00°, γ = 90.00°
Element x y z (fractional)
Al1 0.500 0.250 0.250
La1 0.500 0.750 0.750
Rh1 0.000 0.550 0.448
Rh2 0.000 0.950 0.052

Formation energy from the elements   -68 kJ/mol of atoms
Magnetic moment   0.0 μB/f.u.
Electronic total energy   -6.552 eV per atom

Density functional theory data (PBE) for a relaxed LaAl2Rh crystal.

a = 5.548 Å, b = 5.548 Å, c = 3.124 Å
α = 90.00°, β = 90.00°, γ = 121.47°
Element x y z (fractional)
Al1 0.000 0.000 0.000
Al2 0.500 0.500 0.000
La1 0.500 0.000 0.500
Rh1 0.000 0.500 0.500

Formation energy from the elements   -12 kJ/mol of atoms
Magnetic moment   0.0 μB/f.u.
Electronic total energy   -5.066 eV per atom